Entry 1:
First-principles (PBE-GGA) data for crystalline Pm4Nd2HoEr at its relaxed geometry, as listed in Alexandria via LeMat-Bulk. Values from VASP.

```
&SYSTEM
  ibrav = 0, nat = 16, ntyp = 4
/
ATOMIC_SPECIES
Nd 144.24 Nd.upf
Pm 145.00 Pm.upf
Ho 164.93 Ho.upf
Er 167.26 Er.upf
ATOMIC_POSITIONS crystal
Nd 0.500 0.000 0.000
Nd 0.500 0.000 0.500
Pm 0.207 0.213 0.458
Nd 0.000 0.000 0.500
Pm 0.287 0.293 0.042
Ho 0.000 0.000 0.000
Pm 0.253 0.745 0.490
Pm 0.713 0.707 0.958
Pm 0.755 0.247 0.010
Pm 0.245 0.753 0.990
Er 0.000 0.500 0.500
Er 0.000 0.500 0.000
Pm 0.747 0.255 0.510
Nd 0.500 0.500 0.000
Pm 0.793 0.787 0.542
Ho 0.500 0.500 0.500
CELL_PARAMETERS angstrom
-8.742 -3.880 0.536
1.813 -3.696 8.650
3.150 10.693 -4.340
```

Summary:
- Space group: C2/c
- DFT formation energy: 9.0 kcal/mol of atoms

Entry 2:
First-principles (PBE-GGA) data for crystalline PmNd2HoEr4 at its relaxed geometry, as listed in Alexandria via LeMat-Bulk. Values from VASP.

```
&SYSTEM
  ibrav = 0, nat = 16, ntyp = 4
/
ATOMIC_SPECIES
Ho 164.93 Ho.upf
Er 167.26 Er.upf
Nd 144.24 Nd.upf
Pm 145.00 Pm.upf
ATOMIC_POSITIONS crystal
Ho 0.500 0.500 0.500
Ho 0.000 0.000 0.000
Er 0.250 0.250 0.496
Er 0.250 0.250 0.004
Er 0.750 0.750 0.996
Er 0.254 0.746 0.500
Nd 0.500 0.000 0.500
Pm 0.000 0.500 0.000
Er 0.746 0.254 0.500
Nd 0.500 0.500 0.000
Er 0.750 0.750 0.504
Nd 0.000 0.000 0.500
Pm 0.000 0.500 0.500
Er 0.246 0.754 0.000
Nd 0.500 0.000 0.000
Er 0.754 0.246 0.000
CELL_PARAMETERS angstrom
9.351 -0.011 -1.711
-0.018 9.351 -1.711
-5.973 -5.977 8.275
```

Summary:
- Space group: Imma
- DFT formation energy: 9.7 kcal/mol of atoms

Asked for ρ across the records above, the calculation gives 7.27; 7.91 g/cm³ in order.